Record 1
Material: KCrP2Se8
Method: DFT, PBE-GGA
State: relaxed

Its crystal system is trigonal. The calculation puts the total magnetization at 1.00 μB/cell. As for the formation energy from raw total energies: -23.4 kJ per mole of atoms. As for the total energy: -4.360 eV per atom.

abc: 6.167 6.167 10.040
angles: 90.00 90.00 120.00
Each line ends with the local moment (μB).
Sites, in units of the cell vectors:
1 K 0.000 0.000 0.000  0.00
2 Cr 0.000 0.000 0.500  2.28
3 P 0.667 0.333 0.294  0.02
4 P 0.333 0.667 0.706  0.02
5 Se 0.333 0.667 0.922  -0.09
6 Se 0.317 0.343 0.359  -0.14
7 Se 0.657 0.974 0.359  -0.14
8 Se 0.667 0.333 0.078  -0.09
9 Se 0.343 0.026 0.641  -0.14
10 Se 0.683 0.657 0.641  -0.14
11 Se 0.974 0.317 0.641  -0.14
12 Se 0.026 0.683 0.359  -0.14

=====

Record 2
Material: KVCrP2
Method: DFT, PBE-GGA
State: relaxed

Its crystal system is tetragonal. The calculation puts the total magnetization at 4.86 μB/cell. As for the total energy: -3.791 eV per atom.

abc: 5.185 4.618 5.185
angles: 90.00 90.00 90.00
Each line ends with the local moment (μB).
Sites, in units of the cell vectors:
1 Cr 0.000 0.500 0.000  4.12
2 K 0.000 0.000 0.000  0.10
3 P 0.000 0.000 0.500  -0.06
4 P 0.500 0.000 0.000  -0.10
5 V 0.500 0.500 0.500  0.40

=====

Record 3
Material: KPa2CrS8
Method: DFT, PBE-GGA
State: relaxed

Its crystal system is monoclinic. The calculation puts the total magnetization at 1.12 μB/cell. As for the formation energy from raw total energies: -94.4 kJ per mole of atoms. As for the total energy: -6.206 eV per atom.

abc: 6.197 5.878 8.410
angles: 89.99 89.99 87.58
Each line ends with the local moment (μB).
Sites, in units of the cell vectors:
1 K 0.000 0.000 0.500  0.00
2 Pa 0.500 0.500 0.748  0.08
3 Pa 0.500 0.500 0.252  0.08
4 Cr 0.000 0.000 0.000  2.24
5 S 0.180 0.778 0.190  -0.13
6 S 0.697 0.721 0.000  -0.22
7 S 0.820 0.222 0.190  -0.13
8 S 0.820 0.222 0.810  -0.13
9 S 0.303 0.279 0.000  -0.22
10 S 0.180 0.778 0.810  -0.13
11 S 0.622 0.728 0.500  -0.03
12 S 0.378 0.272 0.500  -0.03

=====

Record 4
Material: KPaCrS4
Method: DFT, PBE-GGA
State: relaxed

Its crystal system is orthorhombic. The calculation puts the total magnetization at 8.06 μB/cell. As for the formation energy from raw total energies: -111.6 kJ per mole of atoms. As for the total energy: -6.403 eV per atom.

abc: 7.913 7.812 8.691
angles: 123.80 90.00 120.43
Each line ends with the local moment (μB).
Sites, in units of the cell vectors:
1 K 0.834 0.668 0.084  0.00
2 K 0.166 0.332 0.916  0.00
3 Pa 0.500 0.000 0.500  0.58
4 Pa 0.500 0.000 0.000  0.58
5 Cr 0.500 0.500 0.500  3.28
6 Cr 0.000 0.500 0.500  3.28
7 S 0.751 0.502 0.682  -0.06
8 S 0.296 0.008 0.254  -0.04
9 S 0.712 0.008 0.254  -0.04
10 S 0.751 0.502 0.320  -0.06
11 S 0.249 0.498 0.680  -0.06
12 S 0.704 0.992 0.746  -0.04
13 S 0.288 0.992 0.746  -0.04
14 S 0.249 0.498 0.318  -0.06

=====

Record 5
Material: K3PaCr2S6
Method: DFT, PBE-GGA
State: relaxed

Its crystal system is monoclinic. The calculation puts the total magnetization at 8.01 μB/cell. As for the formation energy from raw total energies: -109.9 kJ per mole of atoms. As for the total energy: -5.873 eV per atom.

abc: 6.604 6.604 7.669
angles: 98.28 98.28 119.97
Each line ends with the local moment (μB).
Sites, in units of the cell vectors:
1 K 0.166 0.834 0.500  0.00
2 K 0.834 0.166 0.500  0.00
3 K 0.500 0.500 0.500  0.00
4 Pa 0.000 0.000 0.000  0.75
5 Cr 0.333 0.667 0.000  3.38
6 Cr 0.667 0.333 0.000  3.38
7 S 0.937 0.589 0.810  -0.06
8 S 0.715 0.715 0.190  -0.06
9 S 0.063 0.411 0.190  -0.06
10 S 0.589 0.937 0.810  -0.06
11 S 0.285 0.285 0.810  -0.06
12 S 0.411 0.063 0.190  -0.06

=====

Record 6
Material: K3Pa3CrS8
Method: DFT, PBE-GGA
State: relaxed

Its crystal system is trigonal. The calculation puts the total magnetization at 8.03 μB/cell. As for the formation energy from raw total energies: -131.9 kJ per mole of atoms. As for the total energy: -6.329 eV per atom.

abc: 7.909 7.908 8.823
angles: 116.63 90.00 120.00
Each line ends with the local moment (μB).
Sites, in units of the cell vectors:
1 K 0.000 0.000 0.000  0.00
2 K 0.000 0.500 0.000  0.00
3 K 0.500 0.500 0.000  0.00
4 Pa 0.500 0.000 0.500  1.17
5 Pa 0.500 0.500 0.500  1.17
6 Pa 0.000 0.500 0.500  1.17
7 Cr 0.000 0.000 0.500  3.58
8 S 0.264 0.528 0.293  -0.03
9 S 0.736 0.472 0.707  -0.03
10 S 0.775 0.550 0.308  -0.04
11 S 0.225 0.450 0.692  -0.04
12 S 0.775 0.033 0.308  -0.04
13 S 0.225 0.967 0.692  -0.04
14 S 0.259 0.033 0.308  -0.04
15 S 0.741 0.967 0.692  -0.04

=====

Record 7
Material: K2PaCrS6
Method: DFT, PBE-GGA
State: relaxed

Its crystal system is trigonal. The calculation puts the total magnetization at 1.89 μB/cell. As for the formation energy from raw total energies: -99.1 kJ per mole of atoms. As for the total energy: -5.635 eV per atom.

abc: 6.997 6.997 6.997
angles: 60.00 60.00 60.00
Each line ends with the local moment (μB).
Sites, in units of the cell vectors:
1 K 0.566 0.566 0.301  0.00
2 K 0.066 0.066 0.801  0.00
3 Pa 0.816 0.816 0.552  0.11
4 Cr 0.316 0.316 0.052  2.27
5 S 0.554 0.079 0.289  -0.09
6 S 0.079 0.078 0.289  -0.09
7 S 0.078 0.554 0.289  -0.09
8 S 0.553 0.554 0.814  -0.09
9 S 0.554 0.079 0.814  -0.09
10 S 0.079 0.553 0.814  -0.09

=====

Record 8
Material: KPaCrS6
Method: DFT, PBE-GGA
State: relaxed

Its crystal system is trigonal. The calculation puts the total magnetization at 2.92 μB/cell. As for the formation energy from raw total energies: -70.2 kJ per mole of atoms. As for the total energy: -5.726 eV per atom.

abc: 5.527 7.062 7.062
angles: 120.00 90.00 90.00
Each line ends with the local moment (μB).
Sites, in units of the cell vectors:
1 K 0.500 0.667 0.333  0.00
2 Pa 0.000 0.333 0.667  0.21
3 Cr 0.500 0.000 0.000  2.48
4 S 0.728 0.680 0.811  -0.02
5 S 0.728 0.189 0.869  -0.02
6 S 0.728 0.131 0.320  -0.02
7 S 0.272 0.189 0.320  -0.02
8 S 0.272 0.680 0.869  -0.02
9 S 0.272 0.131 0.811  -0.02